(1)
# Hg2TePt, relaxed, DFT PBE-GGA
data_Hg2TePt
_symmetry_space_group_name_H-M 'R -3 m'
_symmetry_Int_Tables_number 166
_symmetry_space_group_name_Hall '-R 3 2"'
_cell_length_a 3.1592
_cell_length_b 3.1592
_cell_length_c 32.4352
_cell_angle_alpha 90.00
_cell_angle_beta 90.00
_cell_angle_gamma 120.00
loop_
_atom_site_label
_atom_site_fract_x
_atom_site_fract_y
_atom_site_fract_z
_atom_site_occupancy
Hg1 0.0000 0.0000 0.2350 1
Te1 0.0000 0.0000 0.0000 1
Pt1 0.0000 0.0000 0.5000 1
# * total magnetization: 0.00 μB/f.u.
# * V: 23.4 Å³ per atom
# * calculated total energy: -26.34 eV per cell

---

(2)
# Tb2Ce3TmAs6, relaxed, DFT PBE-GGA
data_Tb2Ce3TmAs6
_symmetry_space_group_name_H-M 'C 1 2/m 1'
_symmetry_Int_Tables_number 12
_cell_length_a 7.219
_cell_length_b 12.503
_cell_length_c 7.205
_cell_angle_alpha 90.00
_cell_angle_beta 109.52
_cell_angle_gamma 90.00
loop_
_symmetry_equiv_pos_as_xyz
'x,y,z'
'-x,-y,-z'
'-x,y,-z'
'x,-y,z'
'x+1/2,y+1/2,z'
'-x+1/2,-y+1/2,-z'
'-x+1/2,y+1/2,-z'
'x+1/2,-y+1/2,z'
loop_
_atom_site_label
_atom_site_fract_x
_atom_site_fract_y
_atom_site_fract_z
_atom_site_occupancy
Tb1 0.000 0.166 0.000 1
Ce1 0.000 0.000 0.500 1
Ce2 0.000 0.333 0.500 1
Tm1 0.000 0.500 0.000 1
As1 0.247 0.335 0.245 1
As2 0.249 0.500 0.754 1
# * energy of formation from the pure elements: -1.48 eV per atom
# * total magnetization: 1.93 μB/f.u.
# * V: 25.5 Å³ per atom
# * calculated total energy: -154.31 eV per cell

---

(3)
# TlTc2Sb, relaxed, DFT PBE-GGA
data_TlTc2Sb
_symmetry_space_group_name_H-M 'P 1 2/m 1'
_symmetry_Int_Tables_number 10
_cell_length_a 3.126
_cell_length_b 4.081
_cell_length_c 6.048
_cell_angle_alpha 90.00
_cell_angle_beta 102.58
_cell_angle_gamma 90.00
loop_
_symmetry_equiv_pos_as_xyz
'x,y,z'
'-x,-y,-z'
'-x,y,-z'
'x,-y,z'
loop_
_atom_site_label
_atom_site_fract_x
_atom_site_fract_y
_atom_site_fract_z
_atom_site_occupancy
Tl1 0.000 0.000 0.000 1
Tc1 0.375 0.500 0.725 1
Sb1 0.000 0.000 0.500 1
# * excess energy over the best structure of this formula in the dataset: 160 kJ/mol of formula units
# * total magnetization: 0.00 μB/f.u.
# * V: 18.8 Å³ per atom
# * calculated total energy: -24.66 eV per cell

---

(4)
# La2ThPaAs4, relaxed, DFT PBE-GGA
data_La2ThPaAs4
_symmetry_space_group_name_H-M 'P 1 2/m 1'
_symmetry_Int_Tables_number 10
_cell_length_a 7.372
_cell_length_b 4.258
_cell_length_c 7.416
_cell_angle_alpha 90.00
_cell_angle_beta 109.34
_cell_angle_gamma 90.00
loop_
_symmetry_equiv_pos_as_xyz
'x,y,z'
'-x,-y,-z'
'-x,y,-z'
'x,-y,z'
loop_
_atom_site_label
_atom_site_fract_x
_atom_site_fract_y
_atom_site_fract_z
_atom_site_occupancy
La1 0.000 0.000 0.000 1
La2 0.500 0.500 0.000 1
Th1 0.000 0.500 0.500 1
Pa1 0.500 0.000 0.500 1
As1 0.253 0.000 0.737 1
As2 0.263 0.500 0.267 1
# * energy of formation from the pure elements: -1.40 eV per atom
# * total magnetization: 0.00 μB/f.u.
# * V: 27.5 Å³ per atom
# * calculated total energy: -56.57 eV per cell

---

(5)
# Pr2HoZn3Pt4, relaxed, DFT PBE-GGA
data_Pr2HoZn3Pt4
_symmetry_space_group_name_H-M 'P -4 m 2'
_symmetry_Int_Tables_number 115
_cell_length_a 4.200
_cell_length_b 4.200
_cell_length_c 11.709
_cell_angle_alpha 90.00
_cell_angle_beta 90.00
_cell_angle_gamma 90.00
loop_
_symmetry_equiv_pos_as_xyz
'x,y,z'
'y,-x,-z'
'-x,-y,z'
'-y,x,-z'
'-x,y,z'
'-y,-x,-z'
'x,-y,z'
'y,x,-z'
loop_
_atom_site_label
_atom_site_fract_x
_atom_site_fract_y
_atom_site_fract_z
_atom_site_occupancy
Pr1 0.000 0.500 0.226 1
Ho1 0.000 0.000 0.500 1
Zn1 0.000 0.500 0.875 1
Zn2 0.500 0.500 0.500 1
Pt1 0.000 0.000 0.000 1
Pt2 0.000 0.500 0.657 1
Pt3 0.500 0.500 0.000 1
# * energy of formation from the pure elements: -0.83 eV per atom
# * total magnetization: 0.00 μB/f.u.
# * V: 20.7 Å³ per atom
# * calculated total energy: -50.45 eV per cell

---

(6)
# CrN3Cl, relaxed, DFT PBE-GGA
data_CrN3Cl
_symmetry_space_group_name_H-M 'P m -3 m'
_symmetry_Int_Tables_number 221
_symmetry_space_group_name_Hall '-P 4 2 3'
_cell_length_a 3.579
_cell_length_b 3.579
_cell_length_c 3.579
_cell_angle_alpha 90.00
_cell_angle_beta 90.00
_cell_angle_gamma 90.00
loop_
_atom_site_label
_atom_site_fract_x
_atom_site_fract_y
_atom_site_fract_z
_atom_site_occupancy
Cr1 0.000 0.000 0.000 1
N1 0.000 0.500 0.500 1
Cl1 0.500 0.500 0.500 1
# * total magnetization: 0.01 μB/f.u.
# * V: 9.2 Å³ per atom
# * calculated total energy: -22.80 eV per cell

---

(7)
# Ir2RuAu, relaxed, DFT PBE-GGA
data_Ir2RuAu
_symmetry_space_group_name_H-M 'I -4 m 2'
_symmetry_Int_Tables_number 119
_symmetry_space_group_name_Hall 'I -4 -2'
_cell_length_a 3.911
_cell_length_b 3.911
_cell_length_c 7.907
_cell_angle_alpha 90.00
_cell_angle_beta 90.00
_cell_angle_gamma 90.00
loop_
_atom_site_label
_atom_site_fract_x
_atom_site_fract_y
_atom_site_fract_z
_atom_site_occupancy
Ir1 0.000 0.000 0.000 1
Ir2 0.000 0.500 0.250 1
Ru1 0.000 0.500 0.750 1
Au1 0.000 0.000 0.500 1
# * energy of formation from the pure elements: 0.34 eV per atom
# * excess energy over the best structure of this formula in the dataset: 69 kJ/mol of formula units
# * total magnetization: 0.00 μB/f.u.
# * V: 15.1 Å³ per atom
# * calculated total energy: -57.85 eV per cell

---

(8)
# LiHg2Se, relaxed, DFT PBE-GGA
data_LiHg2Se
_symmetry_space_group_name_H-M 'I -4 2 d'
_symmetry_Int_Tables_number 122
_symmetry_space_group_name_Hall 'I -4 2bw'
_cell_length_a 9.483
_cell_length_b 9.483
_cell_length_c 4.909
_cell_angle_alpha 90.00
_cell_angle_beta 90.00
_cell_angle_gamma 90.00
loop_
_atom_site_label
_atom_site_fract_x
_atom_site_fract_y
_atom_site_fract_z
_atom_site_occupancy
Li1 0.000 0.000 0.000 1
Hg1 0.175 0.250 0.625 1
Se1 0.000 0.000 0.500 1
# * total magnetization: 0.00 μB/f.u.
# * V: 27.6 Å³ per atom
# * calculated total energy: -29.39 eV per cell

---

(9)
# SmBiH, relaxed, DFT PBE-GGA
data_SmBiH
_symmetry_space_group_name_H-M 'I 4 m m'
_symmetry_Int_Tables_number 107
_symmetry_space_group_name_Hall 'I 4 -2'
_cell_length_a 3.367
_cell_length_b 3.367
_cell_length_c 11.710
_cell_angle_alpha 90.00
_cell_angle_beta 90.00
_cell_angle_gamma 90.00
loop_
_atom_site_label
_atom_site_fract_x
_atom_site_fract_y
_atom_site_fract_z
_atom_site_occupancy
Sm1 0.000 0.000 0.000 1
Bi1 0.000 0.000 0.284 1
H1 0.000 0.000 0.548 1
# * excess energy over the best structure of this formula in the dataset: 71 kJ/mol of formula units
# * total magnetization: 0.00 μB/f.u.
# * V: 22.1 Å³ per atom
# * calculated total energy: -26.28 eV per cell

---

(10)
# Bi5Pd12Pt2, relaxed, DFT PBE-GGA
data_Bi5Pd12Pt2
_symmetry_space_group_name_H-M 'C 1 2/m 1'
_symmetry_Int_Tables_number 12
_cell_length_a 15.377
_cell_length_b 5.586
_cell_length_c 9.156
_cell_angle_alpha 90.00
_cell_angle_beta 104.66
_cell_angle_gamma 90.00
loop_
_symmetry_equiv_pos_as_xyz
'x,y,z'
'-x,-y,-z'
'-x,y,-z'
'x,-y,z'
'x+1/2,y+1/2,z'
'-x+1/2,-y+1/2,-z'
'-x+1/2,y+1/2,-z'
'x+1/2,-y+1/2,z'
loop_
_atom_site_label
_atom_site_fract_x
_atom_site_fract_y
_atom_site_fract_z
_atom_site_occupancy
Bi1 0.000 0.000 0.000 1
Bi2 0.125 0.500 0.377 1
Bi3 0.192 0.500 0.863 1
Pd1 0.018 0.500 0.858 1
Pd2 0.087 0.000 0.772 1
Pd3 0.152 0.257 0.113 1
Pd4 0.202 0.236 0.619 1
Pt1 0.000 0.240 0.500 1
# * energy of formation from the pure elements: -0.06 eV per atom
# * total magnetization: 0.00 μB/f.u.
# * V: 20.0 Å³ per atom
# * calculated total energy: -189.86 eV per cell

---

(11)
# AcEr2Os, relaxed, DFT PBE-GGA
data_AcEr2Os
_symmetry_space_group_name_H-M 'P 4/m m m'
_symmetry_Int_Tables_number 123
_symmetry_space_group_name_Hall '-P 4 2'
_cell_length_a 3.475
_cell_length_b 3.475
_cell_length_c 9.423
_cell_angle_alpha 90.00
_cell_angle_beta 90.00
_cell_angle_gamma 90.00
loop_
_atom_site_label
_atom_site_fract_x
_atom_site_fract_y
_atom_site_fract_z
_atom_site_occupancy
Ac1 0.000 0.000 0.000 1
Er1 0.500 0.500 0.330 1
Os1 0.000 0.000 0.500 1
# * energy of formation from the pure elements: -0.12 eV per atom
# * excess energy over the best structure of this formula in the dataset: 0 kJ/mol of formula units
# * total magnetization: 0.00 μB/f.u.
# * V: 28.4 Å³ per atom
# * calculated total energy: -24.96 eV per cell

---

(12)
# Cs2SbPdO4, relaxed, DFT PBE-GGA
data_Cs2SbPdO4
_symmetry_space_group_name_H-M 'F d d d'
_symmetry_Int_Tables_number 70
_cell_length_a 6.088
_cell_length_b 13.426
_cell_length_c 20.027
_cell_angle_alpha 90.00
_cell_angle_beta 90.00
_cell_angle_gamma 90.00
loop_
_symmetry_equiv_pos_as_xyz
'x,y,z'
'-x,-y,-z'
'-x+1/4,-y+1/4,z'
'x+1/4,y+1/4,-z'
'x,-y+1/4,-z+1/4'
'-x,y+1/4,z+1/4'
'-x+1/4,y,-z+1/4'
'x+1/4,-y,z+1/4'
'x,y+1/2,z+1/2'
'-x,-y+1/2,-z+1/2'
'-x+1/4,-y+3/4,z+1/2'
'x+1/4,y+3/4,-z+1/2'
'x,-y+3/4,-z+3/4'
'-x,y+3/4,z+3/4'
'-x+1/4,y+1/2,-z+3/4'
'x+1/4,-y+1/2,z+3/4'
'x+1/2,y,z+1/2'
'-x+1/2,-y,-z+1/2'
'-x+3/4,-y+1/4,z+1/2'
'x+3/4,y+1/4,-z+1/2'
'x+1/2,-y+1/4,-z+3/4'
'-x+1/2,y+1/4,z+3/4'
'-x+3/4,y,-z+3/4'
'x+3/4,-y,z+3/4'
'x+1/2,y+1/2,z'
'-x+1/2,-y+1/2,-z'
'-x+3/4,-y+3/4,z'
'x+3/4,y+3/4,-z'
'x+1/2,-y+3/4,-z+1/4'
'-x+1/2,y+3/4,z+1/4'
'-x+3/4,y+1/2,-z+1/4'
'x+3/4,-y+1/2,z+1/4'
loop_
_atom_site_label
_atom_site_fract_x
_atom_site_fract_y
_atom_site_fract_z
_atom_site_occupancy
Cs1 0.125 0.125 0.301 1
Sb1 0.125 0.125 0.625 1
Pd1 0.125 0.125 0.125 1
O1 0.086 0.285 0.836 1
# * total magnetization: 1.03 μB/f.u.
# * V: 25.6 Å³ per atom
# * calculated total energy: -311.99 eV per cell